Arrangement i

A plane-wave DFT calculation with PBE was carried out for YBe2Au after structural relaxation.

Results
The density of states at the Fermi level is 2.66 states/eV per cell.

abc: 4.132 4.132 4.046
angles: 90.00 90.00 90.00
Space group P4/mmm (No. 123)
One atom of each set of equivalent atoms:
Y: 0.000 0.000 0.000
Be: 0.000 0.500 0.500
Au: 0.500 0.500 0.000

=====

Arrangement ii

A plane-wave DFT calculation with PBE was carried out for YBe2Au after structural relaxation.

Results
The density of states at the Fermi level is 6.67 states/eV per cell.

abc: 6.453 6.453 6.453
angles: 90.00 90.00 90.00
Space group F-43m (No. 216)
One atom of each set of equivalent atoms:
Y: 0.000 0.000 0.000
Be: 0.000 0.000 0.500
Be: 0.250 0.250 0.750
Au: 0.250 0.250 0.250

=====

What should be chosen as the most stable of them? Choose arrangement ii.